Crystalline Hf2VGe at its relaxed geometry. Source: Alexandria via LeMat-Bulk, functional PBE.

Output
symmetry = I-42d, No. 122
formation enthalpy at 0 K = 133 kJ/mol of formula units
M_tot = 0.40 μB per atom
V = 19.470 Å³ per atom

Structure (POSCAR):
```
Hf2VGe
1.0
-5.834 0.411 4.616
-4.628 -0.913 -5.768
-5.138 -3.031 -0.210
V Hf Ge
2 4 2
Cartesian
-7.499 -2.097 -3.277 V
-5.231 -0.251 -0.576 V
-4.875 -1.279 -3.106 Hf
-13.033 -2.717 -1.197 Hf
-5.541 -0.613 2.137 Hf
-7.752 -2.457 -0.558 Hf
0.000 0.000 0.000 Ge
-8.102 -1.435 1.915 Ge
```

---

Crystalline CaNdCdHg at its relaxed geometry. Source: Alexandria via LeMat-Bulk, functional PBE.

Output
symmetry = F-43m, No. 216
formation enthalpy at 0 K = -174 kJ/mol of formula units
M_tot = 0.00 μB per atom
V = 27.922 Å³ per atom

Structure (POSCAR):
```
CaNdCdHg
1.0
-1.446 -2.088 -4.772
-4.305 -3.252 -0.334
-4.502 1.718 -2.449
Cd Hg Ca Nd
1 1 1 1
Cartesian
-7.690 -2.716 -5.666 Cd
-2.563 -0.905 -1.889 Hg
0.000 0.000 0.000 Ca
-5.127 -1.811 -3.777 Nd
```

---

Crystalline HoZnCo at its relaxed geometry. Source: Alexandria via LeMat-Bulk, functional PBE.

Output
symmetry = C2/m, No. 12
formation enthalpy at 0 K = -85 kJ/mol of formula units
M_tot = 0.08 μB per atom
V = 17.800 Å³ per atom

Structure (POSCAR):
```
HoZnCo
1.0
-3.835 0.128 1.106
-0.601 -0.723 5.202
1.508 4.733 4.674
Co Zn Ho
2 2 2
Cartesian
-3.125 2.039 5.443 Co
-2.929 -0.024 6.351 Co
-1.315 3.381 4.354 Zn
-2.629 4.091 6.913 Zn
-1.563 0.184 3.861 Ho
-0.655 1.704 6.828 Ho
```

---

Crystalline SmPu3Ge4 at its relaxed geometry. Source: Alexandria via LeMat-Bulk, functional PBE.

Output
symmetry = Immm, No. 71
formation enthalpy at 0 K = -216 kJ/mol of formula units
M_tot = 0.67 μB per atom
V = 23.592 Å³ per atom

Structure (POSCAR):
```
SmPu3Ge4
1.0
2.996 0.000 0.000
0.000 7.842 -0.924
-1.498 -2.987 8.386
Ge Pu Sm
4 3 1
Cartesian
1.498 2.361 1.760 Ge
1.498 5.954 1.336 Ge
0.000 -1.100 6.126 Ge
0.000 2.493 5.702 Ge
0.000 0.422 3.584 Pu
0.000 3.921 -0.462 Pu
1.498 4.432 3.878 Pu
1.498 0.000 0.000 Sm
```

---

Crystalline YRhI3 at its relaxed geometry. Source: Alexandria via LeMat-Bulk, functional PBE.

Output
symmetry = Pm-3m, No. 221
M_tot = 0.24 μB per atom
energy above the most stable polymorph in this dataset = 82 kJ/mol of formula units
formation energy from raw total energies = 47 meV/atom
V = 42.449 Å³ per atom

Structure (POSCAR):
```
YRhI3
1.0
5.965 0.000 0.000
0.000 5.965 0.000
0.000 0.000 5.965
Rh I Y
1 3 1
Cartesian
2.983 2.983 2.983 Rh
0.000 0.000 2.983 I
0.000 2.983 0.000 I
2.983 0.000 0.000 I
0.000 0.000 0.000 Y
```

---

Crystalline FeTeSN2 at its relaxed geometry. Source: Alexandria via LeMat-Bulk, functional PBE.

Output
symmetry = P4/mmm, No. 123
M_tot = 0.00 μB per atom
energy above the most stable polymorph in this dataset = 56 kJ/mol of formula units
formation energy from raw total energies = 956 meV/atom
V = 13.474 Å³ per atom

Structure (POSCAR):
```
FeTeSN2
1.0
3.744 0.000 0.000
0.000 3.744 0.000
0.000 0.000 4.807
N Fe Te S
2 1 1 1
Cartesian
0.000 1.872 0.000 N
1.872 0.000 0.000 N
0.000 0.000 0.000 Fe
1.872 1.872 2.404 Te
0.000 0.000 2.404 S
```

---

Crystalline InBi2PdO6 at its relaxed geometry. Source: Alexandria via LeMat-Bulk, functional PBE.

Output
symmetry = R3, No. 146
M_tot = 0.00 μB per atom
formation energy from raw total energies = -1012 meV/atom
V = 14.384 Å³ per atom

Structure (POSCAR):
```
InBi2PdO6
1.0
5.838 0.000 0.000
2.919 5.055 0.000
2.919 1.685 4.874
Bi O In Pd
2 6 1 1
Cartesian
2.919 1.685 4.480 Bi
5.838 3.371 1.981 Bi
4.251 3.630 3.726 O
4.554 5.356 1.255 O
6.406 1.866 3.726 O
8.199 3.489 1.255 O
4.759 1.266 1.255 O
6.856 4.615 3.726 O
8.756 5.056 2.807 In
2.919 1.685 0.234 Pd
```

---

Crystalline Th2CdTc at its relaxed geometry. Source: Alexandria via LeMat-Bulk, functional PBE.

Output
symmetry = R-3m, No. 166
formation enthalpy at 0 K = -17 kJ/mol of formula units
M_tot = 0.00 μB per atom
V = 29.228 Å³ per atom

Structure (POSCAR):
```
Th2CdTc
1.0
-2.753 -2.536 -1.584
0.691 -1.759 -3.598
2.934 -7.715 2.041
Th Tc Cd
2 1 1
Cartesian
-0.003 -2.619 -1.015 Th
0.876 -9.392 -2.126 Th
0.000 0.000 0.000 Tc
0.436 -6.005 -1.571 Cd
```